# Pr2Dy7Y

Pr2Dy7Y after structural relaxation (PBE, the Alexandria database).

Unit cell a=3.5279 b=14.8376 c=14.8377 alpha=154.56 beta=90.00 gamma=90.00
Fractional coordinates of all 10 atoms:
Pr (0.5000, 0.2925, 0.7075)
Dy (0.5000, 0.1481, 0.3434)
Dy (0.0000, 0.8156, 0.1844)
Dy (0.0000, 0.1844, 0.8156)
Dy (0.5000, 0.8519, 0.6566)
Dy (0.5000, 0.5000, 0.5000)
Y (0.0000, 0.0000, 0.0000)
Dy (0.5000, 0.6566, 0.8519)
Dy (0.5000, 0.3434, 0.1481)
Pr (0.5000, 0.7075, 0.2925)

DOS(E_F)   15.8 states/eV/f.u.
ΔH_f (0 K)   0.152 eV/atom


# HfP2W

HfP2W after structural relaxation (PBE, the Alexandria database).

Unit cell a=4.4084 b=4.4084 c=4.4084 alpha=60.00 beta=60.00 gamma=60.00
Fractional coordinates of all 4 atoms:
W (0.5000, 0.5000, 0.5000)
P (0.7500, 0.7500, 0.7500)
P (0.2500, 0.2500, 0.2500)
Hf (0.0000, 0.0000, 0.0000)

DOS(E_F)   0.6 states/eV/f.u.
ΔH_f (0 K)   -0.512 eV/atom


# Tb8ZnTe2

Tb8ZnTe2 after structural relaxation (PBE, the Alexandria database).

Unit cell a=6.2463 b=8.5633 c=8.5633 alpha=45.94 beta=93.41 gamma=93.41
Fractional coordinates of all 11 atoms:
Tb (0.8795, 0.1966, 0.1966)
Zn (0.0000, 0.0000, 0.0000)
Tb (0.8735, 0.5844, 0.5844)
Tb (0.6535, 0.1583, 0.6572)
Tb (0.3465, 0.3428, 0.8417)
Tb (0.1265, 0.4156, 0.4156)
Te (0.3804, 0.2602, 0.2602)
Tb (0.3465, 0.8417, 0.3428)
Tb (0.6535, 0.6572, 0.1583)
Te (0.6196, 0.7398, 0.7398)
Tb (0.1205, 0.8034, 0.8034)

Formation energy from raw total energies   -0.38 eV/atom
DOS(E_F)   14.7 states/eV/f.u.


# Al2TlFeTc

Al2TlFeTc after structural relaxation (PBE, the Alexandria database).

Unit cell a=4.9323 b=4.7626 c=4.9323 alpha=90.00 beta=90.00 gamma=90.00
Fractional coordinates of all 5 atoms:
Fe (0.0000, 0.5000, 0.0000)
Tl (0.0000, 0.0000, 0.0000)
Al (0.5000, 0.0000, 0.0000)
Tc (0.5000, 0.5000, 0.5000)
Al (0.0000, 0.0000, 0.5000)

DOS(E_F)   6.9 states/eV/f.u.
ΔH_f (0 K)   1.957 eV/atom


# Ga6OsPt

Ga6OsPt after structural relaxation (PBE, the Alexandria database).

Unit cell a=5.2912 b=5.2912 c=6.1520 alpha=96.58 beta=96.58 gamma=104.24
Fractional coordinates of all 8 atoms:
Pt (0.0000, 0.0000, 0.0000)
Ga (0.9337, 0.5687, 0.7414)
Ga (0.4313, 0.0663, 0.2586)
Os (0.5000, 0.5000, 0.5000)
Ga (0.7424, 0.7424, 0.2441)
Ga (0.2576, 0.2576, 0.7559)
Ga (0.0663, 0.4313, 0.2586)
Ga (0.5687, 0.9337, 0.7414)

DOS(E_F)   3.1 states/eV/f.u.
ΔH_f (0 K)   -0.036 eV/atom


# FeNiW2

FeNiW2 after structural relaxation (PBE, the Alexandria database).

Unit cell a=4.2586 b=4.2586 c=4.2586 alpha=60.00 beta=60.00 gamma=60.00
Fractional coordinates of all 4 atoms:
W (0.7500, 0.7500, 0.7500)
Fe (0.0000, 0.0000, 0.0000)
Ni (0.5000, 0.5000, 0.5000)
W (0.2500, 0.2500, 0.2500)

DOS(E_F)   2.9 states/eV/f.u.
ΔH_f (0 K)   0.274 eV/atom


Question: Which of these has the lowest DOS(E_F)?
Answer: HfP2W


Question: Look up the DOS(E_F) of the second one.
Answer: 0.6 states/eV/f.u.